# 1
First-principles (GGA-PBE) data for an optimized crystal structure of Fe2HgRh, as listed in the Alexandria database.

a = 6.204 Å, b = 6.204 Å, c = 6.204 Å
α = 90.00°, β = 90.00°, γ = 90.00°
Space group F-43m (No. 216)
Asymmetric unit:
Fe: 0.000 0.000 0.000 [4 per cell]
Fe: 0.250 0.250 0.250 [4 per cell]
Hg: 0.250 0.250 0.750 [4 per cell]
Rh: 0.000 0.000 0.500 [4 per cell]

=====

# 2
First-principles (GGA-PBE) data for an optimized crystal structure of PuMnFeSi, as listed in the Alexandria database.

a = 6.095 Å, b = 6.095 Å, c = 6.095 Å
α = 90.00°, β = 90.00°, γ = 90.00°
Space group F-43m (No. 216)
Asymmetric unit:
Pu: 0.000 0.000 0.000 [4 per cell]
Mn: 0.250 0.250 0.250 [4 per cell]
Fe: 0.250 0.250 0.750 [4 per cell]
Si: 0.000 0.000 0.500 [4 per cell]

Output
Its formation energy without anion corrections is -0.18 eV per atom. Its distance to the lowest polymorph of the same formula is 0.015 eV per atom.

=====

# 3
First-principles (GGA-PBE) data for an optimized crystal structure of KSN2F, as listed in the Alexandria database.

a = 5.128 Å, b = 5.128 Å, c = 3.954 Å
α = 90.00°, β = 90.00°, γ = 90.00°
Space group P4/mmm (No. 123)
Asymmetric unit:
K: 0.000 0.000 0.000 [1 per cell]
S: 0.500 0.500 0.000 [1 per cell]
N: 0.000 0.500 0.500 [2 per cell]
F: 0.500 0.500 0.500 [1 per cell]

Output
Its formation energy without anion corrections is 1.51 eV per atom. Its distance to the lowest polymorph of the same formula is 1.265 eV per atom.

=====

| no. | energy (Ry/atom) | DOS at the Fermi energy (states/eV/f.u.) |
| --- | --- | --- |
| 1 | -0.432 | 3.718 |
| 2 | -0.700 | 5.022 |
| 3 | -0.238 | 1.517 |